<A>
First-principles (GGA-PBE) data for a relaxed PrYRu crystal, as listed in the Alexandria database.

Geometry as POSCAR:
```
PrYRu
1.0
4.996 -0.010 0.006
0.011 5.780 0.243
-0.011 -1.644 5.613
Y Ru Pr
2 2 2
Cartesian
1.259 -0.203 1.024
3.760 4.368 4.859
3.756 0.147 2.229
1.263 4.018 3.654
1.257 1.252 4.092
3.762 2.914 1.791
```

---

<B>
First-principles (GGA-PBE) data for a relaxed PrYRu crystal, as listed in the Alexandria database.

Geometry as POSCAR:
```
PrYRu
1.0
-1.324 -4.225 -2.053
3.153 -3.721 -0.176
-0.723 -3.944 2.782
Pr Y Ru
1 1 1
Cartesian
0.553 -5.945 0.276
0.000 0.000 0.000
0.277 -2.973 0.138
```

---

Which is the most stable structure? <B> is the most stable.

---

<A>
First-principles (GGA-PBE) data for a relaxed PrZn4Ru crystal, as listed in the Alexandria database.

Geometry as POSCAR:
```
PrZn4Ru
1.0
-1.177 -2.758 4.283
3.800 -2.318 2.742
1.301 1.825 4.723
Zn Ru Pr
4 1 1
Cartesian
1.799 -2.965 4.967
0.530 -0.861 5.973
3.058 -0.637 5.191
2.460 -2.038 7.367
0.000 0.000 0.000
0.981 -0.813 2.937
```

---

<B>
First-principles (GGA-PBE) data for a relaxed PrZn4Ru crystal, as listed in the Alexandria database.

Geometry as POSCAR:
```
PrZn4Ru
1.0
4.052 0.000 0.000
0.000 6.955 0.000
0.000 0.000 7.941
Zn Ru Pr
8 2 2
Cartesian
2.026 4.872 0.434
0.000 0.000 0.000
2.026 2.083 7.507
2.026 0.232 1.985
2.026 4.872 3.537
0.000 0.000 3.970
2.026 2.083 4.404
2.026 6.722 5.956
0.000 1.504 5.956
0.000 5.451 1.985
0.000 4.259 5.956
0.000 2.696 1.985
```

---

Which is the most stable structure? <B> is the most stable.

---

<A>
First-principles (GGA-PBE) data for a relaxed Pr3ZnRu crystal, as listed in the Alexandria database.

Geometry as POSCAR:
```
Pr3ZnRu
1.0
5.907 0.059 -1.206
-2.744 5.231 -1.206
-0.082 -0.138 8.672
Pr Ru Zn
6 2 2
Cartesian
-0.418 4.212 -0.392
-0.107 1.047 2.156
2.555 3.046 0.950
3.499 0.941 6.652
3.188 4.105 4.104
0.526 2.106 5.309
0.791 1.323 -0.603
2.372 3.968 -1.809
-0.437 4.179 2.989
3.518 0.974 3.271
```

---

<B>
First-principles (GGA-PBE) data for a relaxed Pr3ZnRu crystal, as listed in the Alexandria database.

Geometry as POSCAR:
```
Pr3ZnRu
1.0
-2.566 -1.980 4.169
0.579 -7.157 -3.044
6.006 -0.087 3.657
Pr Ru Zn
6 2 2
Cartesian
3.074 -7.963 1.744
4.620 -3.616 4.759
0.077 -7.602 0.069
1.472 -4.761 2.277
2.661 -1.470 1.229
5.577 -4.870 1.408
3.869 -5.913 3.206
1.338 -3.190 -0.404
2.524 -5.571 -0.805
5.773 -1.029 3.353
```

---

Which is the most stable structure? <A> is the most stable.

---

<A>
First-principles (GGA-PBE) data for a relaxed PrS4 crystal, as listed in the Alexandria database.

Geometry as POSCAR:
```
PrS4
1.0
-3.522 0.902 3.414
1.306 -0.335 5.079
-0.614 4.931 1.707
S Pr
4 1
Cartesian
-2.123 4.085 7.659
-1.867 4.071 4.284
-0.963 1.427 5.915
-0.706 1.413 2.541
0.000 0.000 0.000
```

---

<B>
First-principles (GGA-PBE) data for a relaxed PrS4 crystal, as listed in the Alexandria database.

Geometry as POSCAR:
```
PrS4
1.0
5.590 0.000 0.000
0.000 5.590 0.000
0.000 0.000 5.590
S Pr
4 1
Cartesian
0.000 0.000 0.000
2.795 0.000 2.795
2.795 2.795 0.000
0.000 2.795 2.795
2.795 2.795 2.795
```

---

Which is the most stable structure? <A> is the most stable.

---

<A>
First-principles (GGA-PBE) data for a relaxed Pr2SbS5 crystal, as listed in the Alexandria database.

Geometry as POSCAR:
```
Pr2SbS5
1.0
5.355 0.000 0.000
-2.678 7.015 0.000
0.000 0.000 13.265
Sb S Pr
2 10 4
Cartesian
2.678 4.691 9.949
0.000 2.324 3.316
2.678 6.392 11.792
0.000 0.623 5.160
0.000 4.097 1.211
0.000 3.926 9.949
2.678 3.089 3.316
2.678 2.918 7.844
0.000 4.097 5.421
0.000 0.623 1.473
2.678 2.918 12.054
2.678 6.392 8.105
0.000 2.134 7.549
0.000 2.134 12.349
2.678 4.881 5.716
2.678 4.881 0.916
```

---

<B>
First-principles (GGA-PBE) data for a relaxed Pr2SbS5 crystal, as listed in the Alexandria database.

Geometry as POSCAR:
```
Pr2SbS5
1.0
4.066 0.000 0.000
0.000 7.805 0.000
0.000 0.000 11.483
S Pr Sb
10 4 2
Cartesian
0.000 5.174 8.066
2.033 6.376 10.559
0.000 3.902 0.000
2.033 1.428 0.923
2.033 5.331 4.818
2.033 2.474 6.665
0.000 6.533 2.325
0.000 2.631 3.416
0.000 1.271 9.158
0.000 0.000 5.741
2.033 0.417 3.772
2.033 7.388 7.711
2.033 3.486 9.513
2.033 4.319 1.970
0.000 0.000 0.000
0.000 3.902 5.741
```

---

Which is the most stable structure? <B> is the most stable.

---

<A>
First-principles (GGA-PBE) data for a relaxed PrScS3 crystal, as listed in the Alexandria database.

Geometry as POSCAR:
```
PrScS3
1.0
3.850 0.000 0.000
0.000 8.083 0.000
0.000 0.000 14.037
S Sc Pr
12 4 4
Cartesian
2.887 5.363 6.444
2.887 6.788 2.854
0.962 5.337 9.873
2.887 8.082 8.573
0.962 2.719 7.594
2.887 2.746 4.164
2.887 4.041 12.483
0.962 6.761 13.462
2.887 1.322 0.575
0.962 1.295 11.183
0.962 4.042 1.554
0.962 0.001 5.464
0.962 6.629 7.633
2.887 5.496 0.614
0.962 2.587 13.423
2.887 1.454 6.405
0.962 1.051 2.713
2.887 7.032 11.324
0.962 5.093 4.305
2.887 2.990 9.732
```

---

<B>
First-principles (GGA-PBE) data for a relaxed PrScS3 crystal, as listed in the Alexandria database.

Geometry as POSCAR:
```
PrScS3
1.0
3.852 0.000 0.000
-1.926 7.167 0.306
0.000 -0.250 8.387
Sc S Pr
2 6 2
Cartesian
0.000 2.349 7.340
1.926 4.568 1.353
1.926 6.480 3.067
1.926 2.049 0.512
1.926 3.338 5.756
0.000 3.579 2.937
0.000 0.436 5.625
0.000 4.867 8.181
0.000 5.399 5.217
1.926 1.518 3.475
```

---

Which is the most stable structure? <A> is the most stable.

---

<A>
First-principles (GGA-PBE) data for a relaxed Pr3ScS6 crystal, as listed in the Alexandria database.

Geometry as POSCAR:
```
Pr3ScS6
1.0
8.106 0.593 -0.796
-0.932 8.074 -0.796
0.491 0.593 8.130
Sc Pr S
2 6 12
Cartesian
3.832 4.630 3.270
0.000 0.000 0.000
0.224 4.809 1.529
2.247 1.119 4.383
4.435 2.417 -0.019
7.440 4.451 5.010
5.417 8.141 2.156
3.229 6.843 6.558
2.823 1.340 7.197
7.759 1.591 4.885
2.972 4.758 0.842
4.842 7.920 -0.657
3.233 7.094 3.737
6.184 5.451 2.604
4.693 4.501 5.697
7.231 3.023 -0.354
-0.095 7.669 1.654
1.480 3.809 3.935
0.433 6.236 6.893
4.432 2.166 2.802
```

---

<B>
First-principles (GGA-PBE) data for a relaxed Pr3ScS6 crystal, as listed in the Alexandria database.

Geometry as POSCAR:
```
Pr3ScS6
1.0
6.743 0.000 -0.140
0.000 7.355 0.000
-0.124 0.000 10.051
S Pr Sc
12 6 2
Cartesian
0.894 0.396 7.663
4.564 1.313 9.206
2.292 4.073 7.344
1.254 2.365 4.250
4.424 1.445 5.676
4.327 3.282 2.567
5.725 6.959 2.248
2.195 5.911 4.235
2.055 6.042 0.705
1.115 2.233 0.721
5.504 5.122 9.190
5.365 4.991 5.661
6.387 2.989 7.449
3.077 0.689 2.494
-0.062 0.000 5.026
3.542 6.666 7.417
3.371 3.678 -0.070
0.232 4.367 2.461
0.000 0.000 0.000
3.309 3.678 4.955
```

---

Which is the most stable structure? <A> is the most stable.

---

<A>
First-principles (GGA-PBE) data for a relaxed PrSc3S6 crystal, as listed in the Alexandria database.

Geometry as POSCAR:
```
PrSc3S6
1.0
4.037 0.000 0.000
0.000 7.941 -0.098
0.000 -2.590 7.507
S Sc Pr
6 3 1
Cartesian
2.019 4.347 2.498
0.000 2.400 0.508
0.000 5.623 4.971
2.019 1.004 4.912
0.000 2.951 6.901
0.000 -0.272 2.438
2.019 -1.295 3.754
2.019 3.970 -0.049
0.000 0.000 0.000
0.000 2.675 3.705
```

---

<B>
First-principles (GGA-PBE) data for a relaxed PrSc3S6 crystal, as listed in the Alexandria database.

Geometry as POSCAR:
```
PrSc3S6
1.0
3.827 0.000 0.000
0.000 9.481 -5.418
0.000 -1.389 12.419
Sc S Pr
6 12 2
Cartesian
2.870 7.342 -0.449
0.957 0.750 7.449
0.957 0.446 1.613
2.870 7.646 5.387
2.870 2.911 4.752
0.957 5.181 2.249
2.870 8.780 -2.643
2.870 0.553 5.762
0.957 -0.688 9.644
0.957 7.539 1.239
0.957 6.093 -2.010
0.957 6.612 6.898
2.870 1.480 0.103
2.870 5.455 3.969
0.957 3.318 6.512
2.870 1.998 9.011
0.957 2.637 3.031
2.870 4.773 0.489
0.957 3.271 -1.249
2.870 4.820 8.250
```

---

Which is the most stable structure? <B> is the most stable.